# CePmEr5Tm2

CePmEr5Tm2 after structural relaxation (PBE, the Alexandria database).

Computed properties:
Energy relative to the elements = 174 meV/atom
SG = No. 63
DOS at the Fermi energy = 28.282 states/eV per cell
VASP energy = -4.54 eV per atom

Cell: 5.294 11.017 9.989 Å, 90.00 90.00 103.90°
Element x y z (fractional)
Ce 0.778 0.555 0.508
Ce 0.222 0.445 0.008
Tm 0.883 0.767 0.255
Er 0.722 0.444 0.198
Tm 0.117 0.233 0.754
Er 0.500 0.000 0.258
Er 0.003 0.007 0.508
Er 0.278 0.556 0.318
Er 0.377 0.754 0.008
Er 0.278 0.556 0.698
Tm 0.117 0.234 0.262
Er 0.500 0.000 0.758
Pm 0.599 0.198 0.008
Er 0.623 0.246 0.508
Er 0.997 0.993 0.008
Tm 0.883 0.766 0.762
Er 0.722 0.444 0.818
Pm 0.401 0.802 0.508